{
  "formula": "Fe2IO",
  "functional": "PBE+U",
  "state": "relaxed",
  "rho_g_cm3": 5.03,
  "magnetic_moment_mub_per_cell": 14.1,
  "e_above_lowest_polymorph_ev_per_atom": 0.000,
  "space_group": "I-42d, No. 122",
  "cell": [[-0.558, -4.883, -2.360], [3.259, -2.198, 3.778], [-3.149, -4.603, 3.972]],
  "species": ["Fe", "Fe", "Fe", "Fe", "I", "I", "O", "O"],
  "frac_coords": [[0.875, 0.707, 0.750], [0.457, 0.125, 0.250], [0.293, 0.625, 0.250], [0.375, 0.543, 0.750], [0.000, 0.000, 0.000], [0.750, 0.250, 0.500], [0.500, 0.500, 0.000], [0.250, 0.750, 0.500]]
}